A relaxed structure of UTaGe. Source: the Open Quantum Materials Database, functional PBE.

Its total energy is -8.16 eV per atom. For the density, the calculation gives 11.802 g/cm³. The volume comes out at 23.1 Å³/atom.

a b c (Å): 4.608 4.608 4.608
angles (deg): 60.00 60.00 60.00
Atoms (fractional coordinates):
Ta  0.750  0.750  0.750
U  0.000  0.000  0.000
Ge  0.250  0.250  0.250